(1)
VASP calculation (PBE) on YSi2Os after structural relaxation.

abc: 4.200 6.560 10.012
angles: 90.00 90.00 90.00
Atoms (fractional coordinates):
1 Y 0.750 0.767 0.318
2 Y 0.750 0.267 0.182
3 Y 0.250 0.233 0.682
4 Y 0.250 0.733 0.818
5 Si 0.750 0.745 0.025
6 Si 0.250 0.255 0.975
7 Si 0.750 0.245 0.475
8 Si 0.250 0.755 0.525
9 Si 0.750 0.038 0.838
10 Si 0.250 0.462 0.338
11 Si 0.750 0.538 0.662
12 Si 0.250 0.962 0.162
13 Os 0.250 0.090 0.402
14 Os 0.750 0.910 0.598
15 Os 0.250 0.590 0.098
16 Os 0.750 0.410 0.902

Energy relative to the elements, uncorrected = -0.583 eV/atom
SG = No. 62

(2)
VASP calculation (PBE) on Hg3I after structural relaxation.

abc: 4.497 4.497 7.514
angles: 107.41 107.41 90.00
Atoms (fractional coordinates):
1 I 0.000 0.000 0.000
2 Hg 0.500 0.500 0.000
3 Hg 0.274 0.274 0.547
4 Hg 0.726 0.726 0.453

Energy relative to the elements, uncorrected = -0.055 eV/atom
Excess energy over the best structure of this formula in the dataset = 48 meV per atom
SG = No. 139

(3)
VASP calculation (PBE) on TbGaSe after structural relaxation.

abc: 4.207 4.207 11.426
angles: 79.39 79.39 60.00
Atoms (fractional coordinates):
1 Tb 0.570 0.570 0.290
2 Tb 0.430 0.430 0.710
3 Se 0.277 0.277 0.169
4 Se 0.723 0.723 0.831
5 Ga 0.838 0.838 0.486
6 Ga 0.162 0.162 0.514

Energy relative to the elements, uncorrected = -1.101 eV/atom
SG = No. 166

(4)
VASP calculation (PBE) on TbInSn2 after structural relaxation.

abc: 4.556 4.559 5.918
angles: 112.65 112.64 90.00
Atoms (fractional coordinates):
1 Tb 0.000 0.000 0.000
2 In 0.500 0.500 0.000
3 Sn 0.250 0.750 0.500
4 Sn 0.750 0.250 0.500

Formation enthalpy at 0 K = -432 meV/atom
Excess energy over the best structure of this formula in the dataset = 10 meV per atom
SG = No. 139

Number 1: theoretical density 8.074 Mg/m³. Number 2: theoretical density 8.789 Mg/m³. Number 3: theoretical density 5.971 Mg/m³. Number 4: theoretical density 8.232 Mg/m³.